Computed, not measured: a relaxed structure of Sr2PtPb at the GGA-PBE level of DFT.

a b c (Å): 7.730 7.754 3.939
angles (deg): 90.00 90.00 90.00
Space group Cmmm (No. 65)
Asymmetric unit:
Sr1 0.250 0.250 0.000 x4
Pt1 0.000 0.000 0.500 x2
Pb1 0.000 0.500 0.500 x2

Computed properties:
The calculation puts the formation energy at -0.5164 eV/atom. The value obtained for the density of states at the Fermi level is 1.8 states/eV/f.u. As for the crystal system: orthorhombic.